(1)
# PBE-GGA GaFeSi, optimized geometry
data_GaFeSi
_space_group_name_H-M_alt 'P 1'
_space_group_IT_number 1
_cell_length_a 3.917
_cell_length_b 3.917
_cell_length_c 3.917
_cell_angle_alpha 60.00
_cell_angle_beta 60.00
_cell_angle_gamma 60.00
loop_
_space_group_symop_operation_xyz
'x,y,z'
loop_
_atom_site_label
_atom_site_type_symbol
_atom_site_fract_x
_atom_site_fract_y
_atom_site_fract_z
Ga1 Ga 0.250 0.250 0.250
Si1 Si 0.750 0.750 0.750
Fe1 Fe 0.000 0.000 0.000
# **Electronic total energy**: -5.653 eV/atom
# **M_tot**: 0.00 μB per atom
# **SG**: F-43m

---

(2)
# PBE-GGA Sm2Ga5Fe12, optimized geometry
data_Sm2Ga5Fe12
_space_group_name_H-M_alt 'P 1'
_space_group_IT_number 1
_cell_length_a 6.519
_cell_length_b 6.519
_cell_length_c 6.519
_cell_angle_alpha 82.73
_cell_angle_beta 82.73
_cell_angle_gamma 82.73
loop_
_space_group_symop_operation_xyz
'x,y,z'
loop_
_atom_site_label
_atom_site_type_symbol
_atom_site_fract_x
_atom_site_fract_y
_atom_site_fract_z
Ga1 Ga 0.000 0.000 0.500
Ga2 Ga 0.097 0.097 0.097
Ga3 Ga 0.500 0.000 0.000
Ga4 Ga 0.000 0.500 0.000
Ga5 Ga 0.903 0.903 0.903
Fe1 Fe 0.688 0.000 0.312
Fe2 Fe 0.000 0.688 0.312
Fe3 Fe 0.656 0.656 0.161
Fe4 Fe 0.688 0.312 0.000
Fe5 Fe 0.839 0.344 0.344
Fe6 Fe 0.312 0.000 0.688
Fe7 Fe 0.000 0.312 0.688
Fe8 Fe 0.344 0.839 0.344
Fe9 Fe 0.312 0.688 0.000
Fe10 Fe 0.161 0.656 0.656
Fe11 Fe 0.656 0.161 0.656
Fe12 Fe 0.344 0.344 0.839
Sm1 Sm 0.652 0.652 0.652
Sm2 Sm 0.348 0.348 0.348
# **Electronic total energy**: -6.624 eV/atom
# **M_tot**: 1.29 μB per atom
# **SG**: R-3m

---

(3)
# PBE-GGA Sm3GaFe3, optimized geometry
data_Sm3GaFe3
_space_group_name_H-M_alt 'P 1'
_space_group_IT_number 1
_cell_length_a 5.576
_cell_length_b 5.576
_cell_length_c 12.863
_cell_angle_alpha 90.00
_cell_angle_beta 90.00
_cell_angle_gamma 135.07
loop_
_space_group_symop_operation_xyz
'x,y,z'
loop_
_atom_site_label
_atom_site_type_symbol
_atom_site_fract_x
_atom_site_fract_y
_atom_site_fract_z
Sm1 Sm 0.994 0.006 0.750
Sm2 Sm 0.285 0.715 0.604
Sm3 Sm 0.715 0.285 0.396
Sm4 Sm 0.006 0.994 0.250
Sm5 Sm 0.285 0.715 0.896
Sm6 Sm 0.715 0.285 0.104
Fe1 Fe 0.574 0.426 0.592
Fe2 Fe 0.426 0.574 0.408
Fe3 Fe 0.426 0.574 0.092
Fe4 Fe 0.316 0.684 0.250
Fe5 Fe 0.574 0.426 0.908
Fe6 Fe 0.684 0.316 0.750
Ga1 Ga 0.000 0.000 0.000
Ga2 Ga 0.000 0.000 0.500
# **Electronic total energy**: -6.109 eV/atom
# **M_tot**: 0.52 μB per atom
# **SG**: Cmcm